# 1
Entry from the Alexandria database: Cs2Er2HfTe6 after structural relaxation (GGA-PBE).

Lattice parameters (Å, degrees): 7.503 7.503 9.534 97.94 97.94 119.86
Fractional coordinates of all 11 atoms:
1 Cs 0.170 0.830 0.000
2 Cs 0.830 0.170 0.000
3 Er 0.332 0.668 0.500
4 Er 0.668 0.332 0.500
5 Hf 0.000 0.000 0.500
6 Te 0.068 0.384 0.686
7 Te 0.256 0.256 0.316
8 Te 0.384 0.068 0.686
9 Te 0.616 0.932 0.314
10 Te 0.744 0.744 0.684
11 Te 0.932 0.616 0.314

Summary:
* space-group type: C2/m
* E: -53.16 eV per cell

***

# 2
Entry from the Alexandria database: PuPaB4 after structural relaxation (GGA-PBE).

Lattice parameters (Å, degrees): 4.677 4.677 4.677 60.00 60.00 60.00
Fractional coordinates of all 6 atoms:
1 Pu 0.000 0.000 0.000
2 Pa 0.250 0.250 0.250
3 B 0.030 0.657 0.657
4 B 0.657 0.030 0.657
5 B 0.657 0.657 0.030
6 B 0.657 0.657 0.657

Summary:
* space-group type: F-43m
* Fermi-level density of states: 0.1486 states/eV/atom
* calculated formation energy: 0.042 eV per atom

***

# 3
Entry from the Alexandria database: Y2ReAs after structural relaxation (GGA-PBE).

Lattice parameters (Å, degrees): 6.332 6.332 6.332 148.55 136.64 54.54
Fractional coordinates of all 4 atoms:
1 Y 0.000 0.000 0.000
2 Y 0.725 0.225 0.500
3 Re 0.487 0.487 0.000
4 As 0.318 0.818 0.500

Summary:
* space-group type: Imm2
* Fermi-level density of states: 0.7970 states/eV/atom
* calculated formation energy: -0.303 eV per atom

***

# 4
Entry from the Alexandria database: CeSc2V after structural relaxation (GGA-PBE).

Lattice parameters (Å, degrees): 11.014 11.014 11.014 16.01 16.01 16.01
Fractional coordinates of all 4 atoms:
1 Ce 0.000 0.000 0.000
2 Sc 0.419 0.419 0.419
3 Sc 0.581 0.581 0.581
4 V 0.500 0.500 0.500

Summary:
* space-group type: R-3m
* Fermi-level density of states: 1.6947 states/eV/atom
* calculated formation energy: 0.501 eV per atom

***

# 5
Entry from the Alexandria database: Sm3Sc2Bi4 after structural relaxation (GGA-PBE).

Lattice parameters (Å, degrees): 7.763 7.763 9.979 122.75 122.75 33.40
Fractional coordinates of all 9 atoms:
1 Sm 0.000 0.000 0.000
2 Sm 0.359 0.359 0.293
3 Sm 0.641 0.641 0.707
4 Sc 0.314 0.314 0.637
5 Sc 0.686 0.686 0.363
6 Bi 0.063 0.063 0.390
7 Bi 0.324 0.324 0.935
8 Bi 0.676 0.676 0.065
9 Bi 0.937 0.937 0.610

Summary:
* space-group type: C2/m
* Fermi-level density of states: 0.8914 states/eV/atom
* calculated formation energy: -0.679 eV per atom

***

# 6
Entry from the Alexandria database: LaReW after structural relaxation (GGA-PBE).

Lattice parameters (Å, degrees): 6.514 6.514 6.514 151.40 151.40 40.89
Fractional coordinates of all 3 atoms:
1 La 0.000 0.000 0.000
2 Re 0.696 0.696 0.000
3 W 0.298 0.298 0.000

Summary:
* space-group type: I4mm
* Fermi-level density of states: 0.9955 states/eV/atom
* calculated formation energy: 0.318 eV per atom

***

# 7
Entry from the Alexandria database: InGaF3 after structural relaxation (GGA-PBE).

Lattice parameters (Å, degrees): 4.503 4.503 4.503 90.00 90.00 90.00
Fractional coordinates of all 5 atoms:
1 In 0.000 0.000 0.000
2 Ga 0.500 0.500 0.500
3 F 0.000 0.000 0.500
4 F 0.000 0.500 0.000
5 F 0.500 0.000 0.000

Summary:
* space-group type: Pm-3m
* E: -20.44 eV per cell
* Fermi-level density of states: 0.2272 states/eV/atom

***

# 8
Entry from the Alexandria database: ErZr2NbN4 after structural relaxation (GGA-PBE).

Lattice parameters (Å, degrees): 5.655 3.262 5.657 90.00 109.30 90.00
Fractional coordinates of all 8 atoms:
1 Er 0.000 0.000 0.000
2 Zr 0.500 0.000 0.500
3 Zr 0.500 0.500 0.000
4 Nb 0.000 0.500 0.500
5 N 0.252 0.000 0.746
6 N 0.258 0.500 0.257
7 N 0.742 0.500 0.743
8 N 0.748 0.000 0.254

Summary:
* space-group type: P2/m
* E: -77.15 eV per cell
* Fermi-level density of states: 0.3487 states/eV/atom

***

The evaluated size of the total moment for the records listed, in turn: 0.0000 0.8193 0.0000 0.3600 0.0325 0.0000 0.0000 0.0000 μB/atom.